*w*
! Nb3CdGe PBE relaxed; values from VASP
! Space-group type: Pm-3m, No. 221
! V, Å³/cell: 123.18
&SYSTEM
  ibrav = 0, nat = 5, ntyp = 3
/
ATOMIC_SPECIES
Nb 92.91 Nb.upf
Cd 112.41 Cd.upf
Ge 72.64 Ge.upf
CELL_PARAMETERS angstrom
4.976 0.000 0.000
0.000 4.976 0.000
0.000 0.000 4.976
ATOMIC_POSITIONS angstrom
Nb 0.000 0.000 2.488
Nb 0.000 2.488 0.000
Nb 2.488 0.000 0.000
Cd 0.000 0.000 0.000
Ge 2.488 2.488 2.488


*x*
! Nb3CdGe PBE relaxed; values from VASP
! Space-group type: Pm-3m, No. 221
! V, Å³/cell: 110.02
&SYSTEM
  ibrav = 0, nat = 5, ntyp = 3
/
ATOMIC_SPECIES
Nb 92.91 Nb.upf
Cd 112.41 Cd.upf
Ge 72.64 Ge.upf
CELL_PARAMETERS angstrom
4.792 0.000 0.000
0.000 4.792 0.000
0.000 0.000 4.792
ATOMIC_POSITIONS angstrom
Nb 0.000 0.000 2.396
Nb 0.000 2.396 0.000
Nb 2.396 0.000 0.000
Cd 2.396 2.396 2.396
Ge 0.000 0.000 0.000


In kJ/mol of atoms, relative to the most stable structure: *w* 106.4; *x* 0.0.


*w*
! NbCdGePt2 PBE relaxed; values from VASP
! Space-group type: P4/mmm, No. 123
! V, Å³/cell: 112.94
&SYSTEM
  ibrav = 0, nat = 5, ntyp = 4
/
ATOMIC_SPECIES
Nb 92.91 Nb.upf
Cd 112.41 Cd.upf
Ge 72.64 Ge.upf
Pt 195.08 Pt.upf
CELL_PARAMETERS angstrom
4.896 0.000 0.000
0.000 4.896 0.000
0.000 0.000 4.710
ATOMIC_POSITIONS angstrom
Nb 0.000 0.000 0.000
Cd 2.448 2.448 2.355
Ge 2.448 2.448 0.000
Pt 0.000 2.448 2.355
Pt 2.448 0.000 2.355


*x*
! NbCdGePt2 PBE relaxed; values from VASP
! Space-group type: P4/mmm, No. 123
! V, Å³/cell: 105.69
&SYSTEM
  ibrav = 0, nat = 5, ntyp = 4
/
ATOMIC_SPECIES
Nb 92.91 Nb.upf
Cd 112.41 Cd.upf
Ge 72.64 Ge.upf
Pt 195.08 Pt.upf
CELL_PARAMETERS angstrom
4.668 0.000 0.000
0.000 4.668 0.000
0.000 0.000 4.851
ATOMIC_POSITIONS angstrom
Nb 0.000 0.000 0.000
Cd 2.334 2.334 0.000
Ge 2.334 2.334 2.426
Pt 0.000 2.334 2.426
Pt 2.334 0.000 2.426


In kJ/mol of atoms, relative to the most stable structure: *w* 63.3; *x* 0.0.


*w*
! NdCd2Ge PBE relaxed; values from VASP
! Space-group type: P4/mmm, No. 123
! V, Å³/cell: 94.83
&SYSTEM
  ibrav = 0, nat = 4, ntyp = 3
/
ATOMIC_SPECIES
Nd 144.24 Nd.upf
Cd 112.41 Cd.upf
Ge 72.64 Ge.upf
CELL_PARAMETERS angstrom
4.371 0.000 0.000
0.000 4.371 0.000
0.000 0.000 4.962
ATOMIC_POSITIONS angstrom
Nd 0.000 0.000 0.000
Cd 0.000 2.186 2.481
Cd 2.186 0.000 2.481
Ge 2.186 2.186 0.000


*x*
! NdCd2Ge PBE relaxed; values from VASP
! Space-group type: R-3m, No. 166
! V, Å³/cell: 103.47
&SYSTEM
  ibrav = 0, nat = 4, ntyp = 3
/
ATOMIC_SPECIES
Nd 144.24 Nd.upf
Cd 112.41 Cd.upf
Ge 72.64 Ge.upf
CELL_PARAMETERS angstrom
1.636 0.944 11.164
-1.636 0.944 11.164
0.000 -1.889 11.164
ATOMIC_POSITIONS angstrom
Nd 0.000 0.000 0.000
Cd 0.000 0.000 3.202
Cd 0.000 0.000 30.290
Ge 0.000 0.000 16.746


In kJ/mol of atoms, relative to the most stable structure: *w* 0.0; *x* 63.8.


*w*
! NpCdGe2 PBE relaxed; values from VASP
! Space-group type: P4/mmm, No. 123
! V, Å³/cell: 82.69
&SYSTEM
  ibrav = 0, nat = 4, ntyp = 3
/
ATOMIC_SPECIES
Np 237.00 Np.upf
Cd 112.41 Cd.upf
Ge 72.64 Ge.upf
CELL_PARAMETERS angstrom
4.558 0.000 0.000
0.000 4.558 0.000
0.000 0.000 3.980
ATOMIC_POSITIONS angstrom
Np 0.000 0.000 0.000
Cd 2.279 2.279 0.000
Ge 0.000 2.279 1.990
Ge 2.279 0.000 1.990


*x*
! NpCdGe2 PBE relaxed; values from VASP
! Space-group type: R-3m, No. 166
! V, Å³/cell: 135.67
&SYSTEM
  ibrav = 0, nat = 4, ntyp = 3
/
ATOMIC_SPECIES
Np 237.00 Np.upf
Cd 112.41 Cd.upf
Ge 72.64 Ge.upf
CELL_PARAMETERS angstrom
2.360 1.362 7.035
-2.360 1.362 7.035
0.000 -2.725 7.035
ATOMIC_POSITIONS angstrom
Np 0.000 0.000 0.000
Cd 0.000 0.000 10.552
Ge 0.000 0.000 7.931
Ge 0.000 0.000 13.172


*y*
! NpCdGe2 PBE relaxed; values from VASP
! Space-group type: P4/mmm, No. 123
! V, Å³/cell: 84.87
&SYSTEM
  ibrav = 0, nat = 4, ntyp = 3
/
ATOMIC_SPECIES
Np 237.00 Np.upf
Cd 112.41 Cd.upf
Ge 72.64 Ge.upf
CELL_PARAMETERS angstrom
3.566 0.000 0.000
0.000 3.566 0.000
0.000 0.000 6.676
ATOMIC_POSITIONS angstrom
Np 0.000 0.000 0.000
Cd 0.000 0.000 3.338
Ge 1.783 1.783 1.855
Ge 1.783 1.783 4.821


In kJ/mol of atoms, relative to the most stable structure: *w* 0.0; *x* 64.1; *y* 22.6.